[1]
# ZrSiAu | the Alexandria database | PBE-GGA | relaxed
data_ZrSiAu
_chemical_formula_sum 'Zr1 Si1 Au1'
_symmetry_space_group_name_H-M 'P 3 m 1'
_symmetry_Int_Tables_number 156
_cell_length_a 3.1094
_cell_length_b 3.1094
_cell_length_c 6.6888
_cell_angle_alpha 90.00
_cell_angle_beta 90.00
_cell_angle_gamma 120.00
loop_
_symmetry_equiv_pos_as_xyz
'x,y,z'
'-y,x-y,z'
'-x+y,-x,z'
'-y,-x,z'
'-x+y,y,z'
'x,x-y,z'
loop_
_atom_site_label
_atom_site_type_symbol
_atom_site_fract_x
_atom_site_fract_y
_atom_site_fract_z
Zr1 Zr 0.0000 0.0000 0.0000
Si1 Si 0.3333 0.6667 0.6645
Au1 Au 0.6667 0.3333 0.3553
# Density (g/cm3): 9.38
# E (hartree per atom): -0.214
# Formation energy without anion corrections (kJ per mole of atoms): -6.40
# Magnetic moment (μB/f.u.): 0.0

---

[2]
# MoPdN2 | the Alexandria database | PBE-GGA | relaxed
data_MoPdN2
_chemical_formula_sum 'Mo3 Pd3 N6'
_symmetry_space_group_name_H-M 'R -3 m'
_symmetry_Int_Tables_number 166
_symmetry_space_group_name_Hall '-R 3 2"'
_cell_length_a 2.9561
_cell_length_b 2.9561
_cell_length_c 19.1686
_cell_angle_alpha 90.00
_cell_angle_beta 90.00
_cell_angle_gamma 120.00
loop_
_atom_site_label
_atom_site_type_symbol
_atom_site_fract_x
_atom_site_fract_y
_atom_site_fract_z
Mo1 Mo 0.0000 0.0000 0.0000
Pd1 Pd 0.0000 0.0000 0.5000
N1 N 0.0000 0.0000 0.3951
# Density (g/cm3): 7.91
# Energy above the lowest structure with this stoichiometry (eV/f.u.): 0.00
# E (hartree per atom): -0.299
# Formation energy without anion corrections (kJ per mole of atoms): 3.68
# Magnetic moment (μB/f.u.): 0.0

---

[3]
# CoMoOs2 | the Alexandria database | PBE-GGA | relaxed
data_CoMoOs2
_chemical_formula_sum 'Co4 Mo4 Os8'
_symmetry_space_group_name_H-M 'I -4 2 d'
_symmetry_Int_Tables_number 122
_symmetry_space_group_name_Hall 'I -4 2bw'
_cell_length_a 3.773
_cell_length_b 3.773
_cell_length_c 17.263
_cell_angle_alpha 90.00
_cell_angle_beta 90.00
_cell_angle_gamma 90.00
loop_
_atom_site_label
_atom_site_type_symbol
_atom_site_fract_x
_atom_site_fract_y
_atom_site_fract_z
Co1 Co 0.000 0.000 0.000
Mo1 Mo 0.000 0.000 0.500
Os1 Os 0.207 0.250 0.125
# Density (g/cm3): 14.47
# ΔE_f (eV per atom): 0.69
# Energy above the lowest structure with this stoichiometry (eV/f.u.): 2.63
# E (hartree per atom): -0.346
# Magnetic moment (μB/f.u.): 0.0

---

[4]
# Tl3HgAu2 | the Alexandria database | PBE-GGA | relaxed
data_Tl3HgAu2
_chemical_formula_sum 'Tl6 Hg2 Au4'
_symmetry_space_group_name_H-M 'P m m a'
_symmetry_Int_Tables_number 51
_cell_length_a 9.784
_cell_length_b 4.879
_cell_length_c 7.021
_cell_angle_alpha 90.00
_cell_angle_beta 90.00
_cell_angle_gamma 90.00
loop_
_symmetry_equiv_pos_as_xyz
'x,y,z'
'-x,-y,-z'
'-x+1/2,-y,z'
'x+1/2,y,-z'
'x+1/2,-y,-z'
'-x+1/2,y,z'
'-x,y,-z'
'x,-y,z'
loop_
_atom_site_label
_atom_site_type_symbol
_atom_site_fract_x
_atom_site_fract_y
_atom_site_fract_z
Tl1 Tl 0.007 0.000 0.250
Tl2 Tl 0.250 0.500 0.749
Hg1 Hg 0.250 0.500 0.248
Au1 Au 0.000 0.500 0.000
Au2 Au 0.250 0.000 0.502
# Density (g/cm3): 11.97
# ΔE_f (eV per atom): -0.04
# Energy above the lowest structure with this stoichiometry (eV/f.u.): 0.00
# E (hartree per atom): -0.087
# Magnetic moment (μB/f.u.): 0.0

---

[5]
# CuSi2Pt | the Alexandria database | PBE-GGA | relaxed
data_CuSi2Pt
_chemical_formula_sum 'Cu4 Si8 Pt4'
_symmetry_space_group_name_H-M 'I -4 2 d'
_symmetry_Int_Tables_number 122
_symmetry_space_group_name_Hall 'I -4 2bw'
_cell_length_a 5.832
_cell_length_b 5.832
_cell_length_c 8.927
_cell_angle_alpha 90.00
_cell_angle_beta 90.00
_cell_angle_gamma 90.00
loop_
_atom_site_label
_atom_site_type_symbol
_atom_site_fract_x
_atom_site_fract_y
_atom_site_fract_z
Cu1 Cu 0.000 0.000 0.000
Si1 Si 0.249 0.250 0.125
Pt1 Pt 0.000 0.000 0.500
# Density (g/cm3): 6.89
# Energy above the lowest structure with this stoichiometry (eV/f.u.): 1.27
# E (hartree per atom): -0.189
# Formation energy without anion corrections (kJ per mole of atoms): 8.65
# Magnetic moment (μB/f.u.): 0.0

---

[6]
# PaAlC | the Alexandria database | PBE-GGA | relaxed
data_PaAlC
_chemical_formula_sum 'Pa1 Al1 C1'
_symmetry_space_group_name_H-M 'P 3 m 1'
_symmetry_Int_Tables_number 156
_cell_length_a 3.2550
_cell_length_b 3.2550
_cell_length_c 5.2820
_cell_angle_alpha 90.00
_cell_angle_beta 90.00
_cell_angle_gamma 120.00
loop_
_symmetry_equiv_pos_as_xyz
'x,y,z'
'-y,x-y,z'
'-x+y,-x,z'
'-y,-x,z'
'-x+y,y,z'
'x,x-y,z'
loop_
_atom_site_label
_atom_site_type_symbol
_atom_site_fract_x
_atom_site_fract_y
_atom_site_fract_z
Pa1 Pa 0.0000 0.0000 0.0000
Al1 Al 0.6667 0.3333 0.5234
C1 C 0.3333 0.6667 0.6982
# Density (g/cm3): 9.25
# ΔE_f (eV per atom): -0.13
# Energy above the lowest structure with this stoichiometry (eV/f.u.): 0.00
# E (hartree per atom): -0.280
# Magnetic moment (μB/f.u.): 0.0

---

[7]
# Th3Cu2Hg | the Alexandria database | PBE-GGA | relaxed
data_Th3Cu2Hg
_chemical_formula_sum 'Th18 Cu12 Hg6'
_symmetry_space_group_name_H-M 'R -3 c'
_symmetry_Int_Tables_number 167
_symmetry_space_group_name_Hall '-R 3 2"c'
_cell_length_a 8.2655
_cell_length_b 8.2655
_cell_length_c 16.1997
_cell_angle_alpha 90.00
_cell_angle_beta 90.00
_cell_angle_gamma 120.00
loop_
_atom_site_label
_atom_site_type_symbol
_atom_site_fract_x
_atom_site_fract_y
_atom_site_fract_z
Th1 Th 0.0000 0.3121 0.2500
Cu1 Cu 0.0000 0.0000 0.1664
Hg1 Hg 0.0000 0.0000 0.0000
# Density (g/cm3): 10.64
# ΔE_f (eV per atom): 0.08
# E (hartree per atom): -0.186
# Magnetic moment (μB/f.u.): 0.0

---

[8]
# TaTl2In | the Alexandria database | PBE-GGA | relaxed
data_TaTl2In
_chemical_formula_sum 'Ta1 Tl2 In1'
_symmetry_space_group_name_H-M 'P m m m'
_symmetry_Int_Tables_number 47
_cell_length_a 3.104
_cell_length_b 5.494
_cell_length_c 5.550
_cell_angle_alpha 90.00
_cell_angle_beta 90.00
_cell_angle_gamma 90.00
loop_
_symmetry_equiv_pos_as_xyz
'x,y,z'
'-x,-y,-z'
'-x,-y,z'
'x,y,-z'
'x,-y,-z'
'-x,y,z'
'-x,y,-z'
'x,-y,z'
loop_
_atom_site_label
_atom_site_type_symbol
_atom_site_fract_x
_atom_site_fract_y
_atom_site_fract_z
Ta1 Ta 0.000 0.000 0.000
Tl1 Tl 0.000 0.500 0.500
Tl2 Tl 0.500 0.500 0.000
In1 In 0.500 0.000 0.500
# Density (g/cm3): 12.36
# ΔE_f (eV per atom): 0.50
# Energy above the lowest structure with this stoichiometry (eV/f.u.): 0.55
# E (hartree per atom): -0.159
# Magnetic moment (μB/f.u.): 0.0

---

[9]
# SrTaC3 | the Alexandria database | PBE-GGA | relaxed
data_SrTaC3
_chemical_formula_sum 'Sr1 Ta1 C3'
_symmetry_space_group_name_H-M 'P m -3 m'
_symmetry_Int_Tables_number 221
_symmetry_space_group_name_Hall '-P 4 2 3'
_cell_length_a 4.263
_cell_length_b 4.263
_cell_length_c 4.263
_cell_angle_alpha 90.00
_cell_angle_beta 90.00
_cell_angle_gamma 90.00
loop_
_atom_site_label
_atom_site_type_symbol
_atom_site_fract_x
_atom_site_fract_y
_atom_site_fract_z
Sr1 Sr 0.000 0.000 0.000
Ta1 Ta 0.500 0.500 0.500
C1 C 0.000 0.500 0.500
# Density (g/cm3): 6.53
# ΔE_f (eV per atom): 0.89
# Energy above the lowest structure with this stoichiometry (eV/f.u.): 0.00
# E (hartree per atom): -0.270
# Magnetic moment (μB/f.u.): 0.0

---

[10]
# UH8Rh4 | the Alexandria database | PBE-GGA | relaxed
data_UH8Rh4
_chemical_formula_sum 'U2 H16 Rh8'
_symmetry_space_group_name_H-M 'C 1 2/m 1'
_symmetry_Int_Tables_number 12
_cell_length_a 9.955
_cell_length_b 5.840
_cell_length_c 5.779
_cell_angle_alpha 90.00
_cell_angle_beta 124.64
_cell_angle_gamma 90.00
loop_
_symmetry_equiv_pos_as_xyz
'x,y,z'
'-x,-y,-z'
'-x,y,-z'
'x,-y,z'
'x+1/2,y+1/2,z'
'-x+1/2,-y+1/2,-z'
'-x+1/2,y+1/2,-z'
'x+1/2,-y+1/2,z'
loop_
_atom_site_label
_atom_site_type_symbol
_atom_site_fract_x
_atom_site_fract_y
_atom_site_fract_z
U1 U 0.000 0.000 0.000
H1 H 0.020 0.266 0.709
H2 H 0.212 0.500 0.756
H3 H 0.225 0.000 0.777
Rh1 Rh 0.000 0.000 0.500
Rh2 Rh 0.000 0.500 0.500
Rh3 Rh 0.250 0.250 0.000
# Density (g/cm3): 7.90
# E (hartree per atom): -0.191
# Magnetic moment (μB/f.u.): 2.4

---

Q: Which value of density does entry 3 give?
A: 14.47 g/cm3

---

Q: Which value of E does entry 6 give?
A: -0.280 hartree per atom

---

Q: What is the E in the sixth record?
A: -0.280 hartree per atom

---

Q: What is the density in the fifth record?
A: 6.89 g/cm3